1.
# AcSm2Co6

A relaxed structure of AcSm2Co6 (PBE, the Alexandria database).

The structure in POSCAR format:
```
AcSm2Co6
1.0
6.7959 0.0000 0.0000
-3.3980 5.8855 0.0000
0.0000 0.0000 4.2552
Ac Sm Co
1 2 6
Direct
0.0000 0.0000 0.0000
0.3333 0.6667 0.0000
0.6667 0.3333 0.0000
0.0000 0.3364 0.5000
0.0000 0.6636 0.5000
0.3364 0.0000 0.5000
0.3364 0.3364 0.5000
0.6636 0.0000 0.5000
0.6636 0.6636 0.5000
```

Values from the calculation:
total magnetic moment	4.61	Bohr magnetons per cell
VASP energy	-56.69	eV/cell
density of states at the Fermi level	8.34	states/eV/cell
crystal system	hexagonal

***

2.
# La2PrNd5Dy

A relaxed structure of La2PrNd5Dy (PBE, the Alexandria database).

The structure in POSCAR format:
```
La2PrNd5Dy
1.0
-4.4246 4.4246 8.1814
4.4246 -4.4246 8.1814
4.4246 4.4246 -8.1814
La Pr Nd Dy
4 2 10 2
Direct
0.1189 0.6189 0.7377
0.3811 0.1189 0.5000
0.6189 0.8811 0.5000
0.8811 0.3811 0.2623
0.2500 0.2500 0.0000
0.7500 0.7500 0.0000
0.0000 0.0000 0.0000
0.0750 0.1413 0.5000
0.1413 0.6413 0.0663
0.3587 0.4250 0.5000
0.4250 0.9250 0.0663
0.5000 0.5000 0.0000
0.5750 0.0750 0.9337
0.6413 0.5750 0.5000
0.8587 0.3587 0.9337
0.9250 0.8587 0.5000
0.2500 0.7500 0.5000
0.7500 0.2500 0.5000
```

Values from the calculation:
total magnetic moment	0.00	Bohr magnetons per cell
VASP energy	-81.76	eV/cell
density of states at the Fermi level	29.31	states/eV/cell
crystal system	tetragonal

***

3.
# K2VHgBr6

A relaxed structure of K2VHgBr6 (PBE, the Alexandria database).

The structure in POSCAR format:
```
K2VHgBr6
1.0
3.9696 2.2918 6.0650
-3.9696 2.2918 6.0650
0.0000 -4.5837 6.0650
K V Hg Br
2 1 1 6
Direct
0.0000 0.0000 0.0000
0.4853 0.4853 0.4853
0.7628 0.7628 0.7628
0.2502 0.2502 0.2502
0.0815 0.8938 0.5671
0.4551 0.6237 0.9788
0.5671 0.0815 0.8938
0.6237 0.9788 0.4551
0.8938 0.5671 0.0815
0.9788 0.4551 0.6237
```

Values from the calculation:
total magnetic moment	1.79	Bohr magnetons per cell
formation energy (no corrections)	-1.041	eV per atom
density of states at the Fermi level	10.59	states/eV/cell
crystal system	trigonal

***

4.
# Li4NdIr

A relaxed structure of Li4NdIr (PBE, the Alexandria database).

The structure in POSCAR format:
```
Li4NdIr
1.0
0.0000 3.6786 3.6786
3.6786 0.0000 3.6786
3.6786 3.6786 0.0000
Li Nd Ir
4 1 1
Direct
0.1208 0.1208 0.1208
0.1208 0.1208 0.6377
0.1208 0.6377 0.1208
0.6377 0.1208 0.1208
0.5000 0.5000 0.5000
0.7500 0.7500 0.7500
```

Values from the calculation:
total magnetic moment	0.00	Bohr magnetons per cell
VASP energy	-21.37	eV/cell
density of states at the Fermi level	5.72	states/eV/cell
crystal system	cubic

***

5.
# CaCuN

A relaxed structure of CaCuN (PBE, the Alexandria database).

The structure in POSCAR format:
```
CaCuN
1.0
3.5565 0.0000 0.0000
0.0000 3.5565 0.0000
0.0000 0.0000 3.7016
Ca Cu N
1 1 1
Direct
0.0000 0.0000 0.0000
0.5000 0.5000 0.5000
0.5000 0.5000 0.0000
```

Values from the calculation:
total magnetic moment	0.00	Bohr magnetons per cell
formation energy (no corrections)	-0.466	eV per atom
density of states at the Fermi level	0.62	states/eV/cell
crystal system	tetragonal

***

6.
# Ti2GeHAu

A relaxed structure of Ti2GeHAu (PBE, the Alexandria database).

The structure in POSCAR format:
```
Ti2GeHAu
1.0
4.0356 0.0000 0.0000
0.0000 4.0356 0.0000
0.0000 0.0000 4.1514
Ti Ge H Au
2 1 1 1
Direct
0.0000 0.5000 0.0000
0.5000 0.0000 0.0000
0.0000 0.0000 0.5000
0.5000 0.5000 0.0000
0.5000 0.5000 0.5000
```

Values from the calculation:
total magnetic moment	0.00	Bohr magnetons per cell
VASP energy	-28.74	eV/cell
density of states at the Fermi level	3.00	states/eV/cell
crystal system	tetragonal

***

7.
# Ag2GePbF8

A relaxed structure of Ag2GePbF8 (PBE, the Alexandria database).

The structure in POSCAR format:
```
Ag2GePbF8
1.0
4.5690 0.0000 0.0000
0.0000 7.3724 0.0000
-0.5988 0.0000 5.6792
Ag Ge Pb F
2 1 1 8
Direct
0.0000 0.2432 0.0000
0.0000 0.7568 0.0000
0.5000 0.0000 0.5000
0.5000 0.5000 0.5000
0.0288 0.5000 0.2570
0.1641 0.0000 0.2979
0.3657 0.1840 0.6821
0.3657 0.8160 0.6821
0.6343 0.1840 0.3179
0.6343 0.8160 0.3179
0.8359 0.0000 0.7021
0.9712 0.5000 0.7430
```

Values from the calculation:
total magnetic moment	0.00	Bohr magnetons per cell
formation energy (no corrections)	-1.936	eV per atom
density of states at the Fermi level	0.00	states/eV/cell
crystal system	monoclinic

***

8.
# TlSi2Se

A relaxed structure of TlSi2Se (PBE, the Alexandria database).

The structure in POSCAR format:
```
TlSi2Se
1.0
9.7294 0.0000 0.0000
0.0000 3.3474 0.0000
-2.9060 0.0000 5.9246
Tl Si Se
2 4 2
Direct
0.0000 0.0000 0.0000
0.5000 0.5000 0.0000
0.1325 0.5000 0.6888
0.2150 0.0000 0.4847
0.6325 0.0000 0.6888
0.7150 0.5000 0.4847
0.3963 0.5000 0.4418
0.8963 0.0000 0.4418
```

Values from the calculation:
total magnetic moment	0.00	Bohr magnetons per cell
formation energy (no corrections)	0.312	eV per atom
E above lowest polymorph	168	meV per atom
density of states at the Fermi level	3.18	states/eV/cell
crystal system	monoclinic

***

9.
# TaIrPt2

A relaxed structure of TaIrPt2 (PBE, the Alexandria database).

The structure in POSCAR format:
```
TaIrPt2
1.0
2.7987 0.0000 0.0000
0.0000 2.7987 0.0000
0.0000 0.0000 8.0761
Ta Ir Pt
1 1 2
Direct
0.0000 0.0000 0.0000
0.0000 0.0000 0.5000
0.5000 0.5000 0.2481
0.5000 0.5000 0.7519
```

Values from the calculation:
total magnetic moment	0.28	Bohr magnetons per cell
E above lowest polymorph	352	meV per atom
density of states at the Fermi level	5.53	states/eV/cell
crystal system	tetragonal

***

10.
# BiN

A relaxed structure of BiN (PBE, the Alexandria database).

The structure in POSCAR format:
```
BiN
1.0
10.5466 0.0000 0.0000
0.0000 10.5466 0.0000
0.0000 0.0000 3.5106
Bi N
8 8
Direct
0.0820 0.2251 0.0000
0.1745 0.5935 0.5000
0.2251 0.9180 0.0000
0.4065 0.1745 0.5000
0.5935 0.8255 0.5000
0.7749 0.0820 0.0000
0.8255 0.4065 0.5000
0.9180 0.7749 0.0000
0.0351 0.3510 0.5000
0.2403 0.7086 0.0000
0.2914 0.2403 0.0000
0.3510 0.9649 0.5000
0.6490 0.0351 0.5000
0.7086 0.7597 0.0000
0.7597 0.2914 0.0000
0.9649 0.6490 0.5000
```

Values from the calculation:
total magnetic moment	0.00	Bohr magnetons per cell
formation energy (no corrections)	0.710	eV per atom
density of states at the Fermi level	0.36	states/eV/cell
crystal system	tetragonal

***

11.
# Re4TcNi

A relaxed structure of Re4TcNi (PBE, the Alexandria database).

The structure in POSCAR format:
```
Re4TcNi
1.0
0.0000 3.6071 3.6071
3.6071 0.0000 3.6071
3.6071 3.6071 0.0000
Re Tc Ni
4 1 1
Direct
0.3759 0.3759 0.3759
0.3759 0.3759 0.8723
0.3759 0.8723 0.3759
0.8723 0.3759 0.3759
0.0000 0.0000 0.0000
0.7500 0.7500 0.7500
```

Values from the calculation:
total magnetic moment	0.00	Bohr magnetons per cell
VASP energy	-63.13	eV/cell
density of states at the Fermi level	7.09	states/eV/cell
crystal system	cubic

***

12.
# TaReSe

A relaxed structure of TaReSe (PBE, the Alexandria database).

The structure in POSCAR format:
```
TaReSe
1.0
6.1538 0.0000 0.0000
0.0000 6.1538 0.0000
0.0000 0.0000 6.1538
Ta Re Se
4 4 4
Direct
0.0000 0.0000 0.0000
0.0000 0.5000 0.5000
0.5000 0.0000 0.5000
0.5000 0.5000 0.0000
0.2500 0.2500 0.2500
0.2500 0.7500 0.7500
0.7500 0.2500 0.7500
0.7500 0.7500 0.2500
0.2500 0.2500 0.7500
0.2500 0.7500 0.2500
0.7500 0.2500 0.2500
0.7500 0.7500 0.7500
```

Values from the calculation:
total magnetic moment	0.00	Bohr magnetons per cell
formation energy (no corrections)	0.635	eV per atom
E above lowest polymorph	557	meV per atom
density of states at the Fermi level	10.18	states/eV/cell
crystal system	cubic